P:
A relaxed structure of OsW2Br, computed with PBE.

Unit cell a=3.2095 b=3.1440 c=7.5835 alpha=90.00 beta=90.25 gamma=90.00
Sites, in units of the cell vectors:
1 Os 0.0000 0.0000 0.0000
2 W 0.4984 0.5000 0.8269
3 W 0.9963 0.0000 0.6199
4 Br 0.9893 0.5000 0.3413

Calculated values
The crystal system is monoclinic. The value obtained for the density of states at the Fermi level is 4.401 states/eV per cell. As for the space-group type: Pm (6).

Q:
A relaxed structure of OsW2Br, computed with PBE.

Unit cell a=4.5317 b=4.5317 c=4.5317 alpha=60.00 beta=60.00 gamma=60.00
Sites, in units of the cell vectors:
1 Os 0.0000 0.0000 0.0000
2 W 0.5000 0.5000 0.5000
3 W 0.7500 0.7500 0.7500
4 Br 0.2500 0.2500 0.2500

Calculated values
The crystal system is cubic. The value obtained for the density of states at the Fermi level is 5.220 states/eV per cell. As for the space-group type: F-43m (216).

R:
A relaxed structure of OsW2Br, computed with PBE.

Unit cell a=2.9878 b=2.9878 c=7.0762 alpha=90.00 beta=90.00 gamma=90.00
Sites, in units of the cell vectors:
1 Os 0.0000 0.0000 0.0000
2 W 0.5000 0.5000 0.2467
3 W 0.5000 0.5000 0.7533
4 Br 0.0000 0.0000 0.5000

Calculated values
The crystal system is tetragonal. The value obtained for the density of states at the Fermi level is 2.818 states/eV per cell. As for the space-group type: P4/mmm (123).

S:
A relaxed structure of OsW2Br, computed with PBE.

Unit cell a=3.8267 b=3.8267 c=4.5116 alpha=90.00 beta=90.00 gamma=90.00
Sites, in units of the cell vectors:
1 Os 0.0000 0.0000 0.0000
2 W 0.0000 0.5000 0.5000
3 W 0.5000 0.0000 0.5000
4 Br 0.5000 0.5000 0.0000

Calculated values
The crystal system is tetragonal. The value obtained for the density of states at the Fermi level is 4.102 states/eV per cell. As for the space-group type: P4/mmm (123).

P wins, 64 meV/atom ahead of the next structure.

P:
A relaxed structure of Y2OsBr, computed with PBE.

Unit cell a=5.0721 b=5.0721 c=5.0721 alpha=125.65 beta=114.62 gamma=90.04
Sites, in units of the cell vectors:
1 Y 0.2419 0.2419 0.0000
2 Y 0.7581 0.7581 0.0000
3 Os 0.0000 0.5000 0.5000
4 Br 0.5000 0.0000 0.5000

Calculated values
The crystal system is orthorhombic. The value obtained for the density of states at the Fermi level is 2.452 states/eV per cell. As for the space-group type: Immm (71).

Q:
A relaxed structure of Y2OsBr, computed with PBE.

Unit cell a=5.0327 b=5.0327 c=5.0327 alpha=60.00 beta=60.00 gamma=60.00
Sites, in units of the cell vectors:
1 Y 0.2500 0.2500 0.2500
2 Y 0.7500 0.7500 0.7500
3 Os 0.0000 0.0000 0.0000
4 Br 0.5000 0.5000 0.5000

Calculated values
The crystal system is cubic. The value obtained for the density of states at the Fermi level is 2.690 states/eV per cell. As for the space-group type: Fm-3m (225).

P wins, 8 meV/atom ahead of the next structure.

P:
A relaxed structure of Y2OsBr, computed with PBE.

Unit cell a=8.2658 b=8.2658 c=8.2658 alpha=155.80 beta=153.51 gamma=36.18
Sites, in units of the cell vectors:
1 Y 0.0000 0.0000 0.0000
2 Y 0.7954 0.2954 0.5000
3 Os 0.4184 0.4184 0.0000
4 Br 0.1682 0.6682 0.5000

Calculated values
The crystal system is orthorhombic. The value obtained for the density of states at the Fermi level is 2.320 states/eV per cell. As for the space-group type: Imm2 (44).

Q:
A relaxed structure of Y2OsBr, computed with PBE.

Unit cell a=3.4038 b=3.4038 c=8.2004 alpha=90.00 beta=90.00 gamma=90.00
Sites, in units of the cell vectors:
1 Y 0.0000 0.0000 0.2049
2 Y 0.0000 0.0000 0.7951
3 Os 0.5000 0.5000 0.0000
4 Br 0.5000 0.5000 0.5000

Calculated values
The crystal system is tetragonal. The value obtained for the density of states at the Fermi level is 1.449 states/eV per cell. As for the space-group type: P4/mmm (123).

R:
A relaxed structure of Y2OsBr, computed with PBE.

Unit cell a=3.4339 b=3.4827 c=8.3453 alpha=90.00 beta=90.00 gamma=90.00
Sites, in units of the cell vectors:
1 Y 0.0000 0.0000 0.1986
2 Y 0.0000 0.0000 0.8014
3 Os 0.5000 0.5000 0.0000
4 Br 0.5000 0.0000 0.5000

Calculated values
The crystal system is orthorhombic. The value obtained for the density of states at the Fermi level is 2.028 states/eV per cell. As for the space-group type: Pmmm (47).

S:
A relaxed structure of Y2OsBr, computed with PBE.

Unit cell a=4.8149 b=5.7254 c=5.7254 alpha=35.32 beta=90.00 gamma=90.00
Sites, in units of the cell vectors:
1 Y 0.0000 0.0000 0.0000
2 Y 0.5000 0.2690 0.2690
3 Os 0.5000 0.5229 0.5229
4 Br 0.0000 0.7350 0.7350

Calculated values
The crystal system is orthorhombic. The value obtained for the density of states at the Fermi level is 2.085 states/eV per cell. As for the space-group type: Amm2 (38).

R wins, 45 meV/atom ahead of the next structure.

P:
A relaxed structure of Y2OsBr, computed with PBE.

Unit cell a=5.0002 b=5.0002 c=5.0002 alpha=60.00 beta=60.00 gamma=60.00
Sites, in units of the cell vectors:
1 Y 0.0000 0.0000 0.0000
2 Y 0.2500 0.2500 0.2500
3 Os 0.7500 0.7500 0.7500
4 Br 0.5000 0.5000 0.5000

Calculated values
The crystal system is cubic. The value obtained for the density of states at the Fermi level is 3.944 states/eV per cell. As for the space-group type: F-43m (216).

Q:
A relaxed structure of Y2OsBr, computed with PBE.

Unit cell a=6.1966 b=6.1966 c=6.1966 alpha=141.76 beta=141.76 gamma=55.19
Sites, in units of the cell vectors:
1 Y 0.0000 0.0000 0.0000
2 Y 0.7500 0.2500 0.5000
3 Os 0.5000 0.5000 0.0000
4 Br 0.2500 0.7500 0.5000

Calculated values
The crystal system is tetragonal. The value obtained for the density of states at the Fermi level is 3.369 states/eV per cell. As for the space-group type: I-4m2 (119).

Q wins, 472 meV/atom ahead of the next structure.

P:
A relaxed structure of Y2OsBr, computed with PBE.

Unit cell a=4.0135 b=4.0135 c=7.9707 alpha=104.54 beta=104.54 gamma=60.36
Sites, in units of the cell vectors:
1 Y 0.2302 0.2302 0.1956
2 Y 0.7698 0.7698 0.8044
3 Os 0.5000 0.5000 0.0000
4 Br 0.0000 0.0000 0.5000

Calculated values
The crystal system is monoclinic. The value obtained for the density of states at the Fermi level is 2.766 states/eV per cell. As for the space-group type: C2/m (12).

Q:
A relaxed structure of Y2OsBr, computed with PBE.

Unit cell a=10.4080 b=10.4080 c=10.4080 alpha=19.23 beta=19.23 gamma=19.23
Sites, in units of the cell vectors:
1 Y 0.0000 0.0000 0.0000
2 Y 0.2291 0.2291 0.2291
3 Os 0.7283 0.7283 0.7283
4 Br 0.4955 0.4955 0.4955

Calculated values
The crystal system is trigonal. The value obtained for the density of states at the Fermi level is 3.816 states/eV per cell. As for the space-group type: R3m (160).

R:
A relaxed structure of Y2OsBr, computed with PBE.

Unit cell a=7.9210 b=7.9210 c=7.9210 alpha=132.44 beta=132.44 gamma=69.54
Sites, in units of the cell vectors:
1 Y 0.0757 0.6250 0.9507
2 Y 0.3750 0.3257 0.4507
3 Y 0.6743 0.1250 0.0493
4 Y 0.8750 0.9243 0.5493
5 Os 0.0000 0.0000 0.0000
6 Os 0.7500 0.2500 0.5000
7 Br 0.2500 0.7500 0.5000
8 Br 0.5000 0.5000 0.0000

Calculated values
The crystal system is tetragonal. The value obtained for the density of states at the Fermi level is 7.144 states/eV per cell. As for the space-group type: I-42d (122).

P wins, 539 meV/atom ahead of the next structure.

P:
A relaxed structure of ZnOsBr, computed with PBE.

Unit cell a=7.3084 b=6.9361 c=3.0917 alpha=84.30 beta=70.80 gamma=24.89
Sites, in units of the cell vectors:
1 Zn 0.0000 0.0000 0.0000
2 Os 0.3460 0.3460 0.6540
3 Br 0.6910 0.6910 0.3090

Calculated values
The crystal system is orthorhombic. The value obtained for the density of states at the Fermi level is 3.142 states/eV per cell. As for the space-group type: Fmm2 (42).

Q:
A relaxed structure of ZnOsBr, computed with PBE.

Unit cell a=6.5235 b=6.5235 c=6.5235 alpha=152.83 beta=152.83 gamma=38.81
Sites, in units of the cell vectors:
1 Zn 0.0000 0.0000 0.0000
2 Os 0.6149 0.6149 0.0000
3 Br 0.2604 0.2604 0.0000

Calculated values
The crystal system is tetragonal. The value obtained for the density of states at the Fermi level is 3.440 states/eV per cell. As for the space-group type: I4mm (107).

R:
A relaxed structure of ZnOsBr, computed with PBE.

Unit cell a=4.3266 b=4.3266 c=4.3266 alpha=60.00 beta=60.00 gamma=60.00
Sites, in units of the cell vectors:
1 Zn 0.0000 0.0000 0.0000
2 Os 0.2500 0.2500 0.2500
3 Br 0.5000 0.5000 0.5000

Calculated values
The crystal system is cubic. The value obtained for the density of states at the Fermi level is 3.515 states/eV per cell. As for the space-group type: F-43m (216).

Q wins, 8 meV/atom ahead of the next structure.

P:
A relaxed structure of ZnOsBr, computed with PBE.

Unit cell a=4.4124 b=4.4124 c=2.9837 alpha=90.00 beta=90.00 gamma=120.00
Sites, in units of the cell vectors:
1 Zn 0.0000 0.0000 0.0000
2 Os 0.3333 0.6667 0.5000
3 Br 0.6667 0.3333 0.5000

Calculated values
The crystal system is hexagonal. The value obtained for the density of states at the Fermi level is 2.888 states/eV per cell. As for the space-group type: P-6m2 (187).

Q:
A relaxed structure of ZnOsBr, computed with PBE.

Unit cell a=3.0994 b=3.0994 c=6.2659 alpha=90.00 beta=90.00 gamma=120.00
Sites, in units of the cell vectors:
1 Zn 0.0000 0.0000 0.0000
2 Os 0.6667 0.3333 0.6999
3 Br 0.3333 0.6667 0.3833

Calculated values
The crystal system is trigonal. The value obtained for the density of states at the Fermi level is 2.335 states/eV per cell. As for the space-group type: P3m1 (156).

Q wins, 217 meV/atom ahead of the next structure.

P:
A relaxed structure of ZnOs2Br, computed with PBE.

Unit cell a=4.6721 b=4.6721 c=5.0121 alpha=101.92 beta=101.92 gamma=36.16
Sites, in units of the cell vectors:
1 Zn 0.0000 0.0000 0.0000
2 Os 0.2563 0.2563 0.7799
3 Os 0.7437 0.7437 0.2201
4 Br 0.5000 0.5000 0.5000

Calculated values
The crystal system is monoclinic. The value obtained for the density of states at the Fermi level is 3.770 states/eV per cell. As for the space-group type: C2/m (12).

Q:
A relaxed structure of ZnOs2Br, computed with PBE.

Unit cell a=4.7537 b=4.7537 c=4.7537 alpha=129.08 beta=129.08 gamma=74.88
Sites, in units of the cell vectors:
1 Zn 0.0000 0.0000 0.0000
2 Os 0.5000 0.5000 0.0000
3 Os 0.7500 0.2500 0.5000
4 Br 0.2500 0.7500 0.5000

Calculated values
The crystal system is tetragonal. The value obtained for the density of states at the Fermi level is 4.665 states/eV per cell. As for the space-group type: I-4m2 (119).

R:
A relaxed structure of ZnOs2Br, computed with PBE.

Unit cell a=5.3329 b=5.3329 c=5.3069 alpha=118.28 beta=118.28 gamma=31.30
Sites, in units of the cell vectors:
1 Zn 0.0000 0.0000 0.0000
2 Os 0.2415 0.2415 0.8916
3 Os 0.5451 0.5451 0.4822
4 Br 0.8131 0.8131 0.3447

Calculated values
The crystal system is monoclinic. The value obtained for the density of states at the Fermi level is 2.350 states/eV per cell. As for the space-group type: Cm (8).

S:
A relaxed structure of ZnOs2Br, computed with PBE.

Unit cell a=2.8003 b=4.6527 c=4.9009 alpha=90.00 beta=90.00 gamma=90.00
Sites, in units of the cell vectors:
1 Zn 0.0000 0.0000 0.0000
2 Os 0.0000 0.5000 0.5000
3 Os 0.5000 0.5000 0.0000
4 Br 0.5000 0.0000 0.5000

Calculated values
The crystal system is orthorhombic. The value obtained for the density of states at the Fermi level is 4.356 states/eV per cell. As for the space-group type: Pmmm (47).

R wins, 25 meV/atom ahead of the next structure.